[1]
# Cs2Tl2GaAu4 | the Alexandria database | PBE | relaxed
# D(E_F), states/eV/f.u.: 3.60
# Crystal system: monoclinic
# SG: No. 12
# DFT total energy, hartree per atom: -0.099
# Formation energy, meV/atom: -196.5
# Density, g/cm³: 8.239
data_Cs2Tl2GaAu4
_chemical_formula_sum 'Cs2 Tl2 Ga1 Au4'
_space_group_name_H-M_alt 'P 1'
_space_group_IT_number 1
_space_group_name_Hall 'P 1'
_cell_length_a 8.3955
_cell_length_b 7.1488
_cell_length_c 7.1488
_cell_angle_alpha 65.40
_cell_angle_beta 120.95
_cell_angle_gamma 120.95
loop_
_atom_site_label
_atom_site_fract_x
_atom_site_fract_y
_atom_site_fract_z
Cs1 0.3084 0.5803 0.5803
Cs2 0.6916 0.4197 0.4197
Tl1 0.1084 0.1590 0.1590
Tl2 0.8916 0.8410 0.8410
Ga1 0.5000 0.0000 0.0000
Au1 0.1985 0.6288 0.0035
Au2 0.8015 0.9965 0.3712
Au3 0.8015 0.3712 0.9965
Au4 0.1985 0.0035 0.6288

=====

[2]
# CsTl2GaAu | the Alexandria database | PBE | relaxed
# D(E_F), states/eV/f.u.: 4.88
# Crystal system: tetragonal
# SG: No. 123
# ΔE to the lowest computed polymorph, kJ/mol of formula units: 31
# DFT total energy, hartree per atom: -0.085
# Formation energy, meV/atom: 61.6
# Density, g/cm³: 7.523
data_CsTl2GaAu
_chemical_formula_sum 'Cs1 Tl2 Ga1 Au1'
_space_group_name_H-M_alt 'P 1'
_space_group_IT_number 1
_space_group_name_Hall 'P 1'
_cell_length_a 5.9594
_cell_length_b 5.9594
_cell_length_c 5.0243
_cell_angle_alpha 90.00
_cell_angle_beta 90.00
_cell_angle_gamma 90.00
loop_
_atom_site_label
_atom_site_fract_x
_atom_site_fract_y
_atom_site_fract_z
Cs1 0.5000 0.5000 0.5000
Tl1 0.0000 0.5000 0.0000
Tl2 0.5000 0.0000 0.0000
Au1 0.0000 0.0000 0.0000
Ga1 0.0000 0.0000 0.5000

=====

[3]
# CsTl2GaAu | the Alexandria database | PBE | relaxed
# D(E_F), states/eV/f.u.: 2.76
# Crystal system: tetragonal
# SG: No. 123
# ΔE to the lowest computed polymorph, kJ/mol of formula units: 0
# DFT total energy, hartree per atom: -0.087
# Formation energy, meV/atom: -1.9
# Density, g/cm³: 7.780
data_CsTl2GaAu
_chemical_formula_sum 'Cs1 Tl2 Ga1 Au1'
_space_group_name_H-M_alt 'P 1'
_space_group_IT_number 1
_space_group_name_Hall 'P 1'
_cell_length_a 5.8192
_cell_length_b 5.8192
_cell_length_c 5.0954
_cell_angle_alpha 90.00
_cell_angle_beta 90.00
_cell_angle_gamma 90.00
loop_
_atom_site_label
_atom_site_fract_x
_atom_site_fract_y
_atom_site_fract_z
Cs1 0.5000 0.5000 0.5000
Tl1 0.0000 0.5000 0.0000
Tl2 0.5000 0.0000 0.0000
Au1 0.0000 0.0000 0.5000
Ga1 0.0000 0.0000 0.0000